[1]
# BeBRu | Alexandria | PBE | relaxed
# * energy relative to the elements: -256 meV/atom
# * E: -81.79 eV for the cell shown
data_BeBRu
_chemical_formula_sum 'Be4 B4 Ru4'
_symmetry_space_group_name_H-M 'C 1 m 1'
_symmetry_Int_Tables_number 8
_cell_length_a 8.0300
_cell_length_b 3.0639
_cell_length_c 5.8249
_cell_angle_alpha 90.00
_cell_angle_beta 128.23
_cell_angle_gamma 90.00
loop_
_symmetry_equiv_pos_as_xyz
'x,y,z'
'x,-y,z'
'x+1/2,y+1/2,z'
'x+1/2,-y+1/2,z'
loop_
_atom_site_label
_atom_site_fract_x
_atom_site_fract_y
_atom_site_fract_z
Be1 0.0000 0.0000 0.0000
Be2 0.0146 0.0000 0.6227
B1 0.3216 0.0000 0.3557
B2 0.3945 0.0000 0.7216
Ru1 0.1570 0.5000 0.4667
Ru2 0.2354 0.5000 0.0459

[2]
# BeBRu | Alexandria | PBE | relaxed
# * energy relative to the elements: -298 meV/atom
# * E: -82.29 eV for the cell shown
data_BeBRu
_chemical_formula_sum 'Be4 B4 Ru4'
_symmetry_space_group_name_H-M 'C m c m'
_symmetry_Int_Tables_number 63
_symmetry_space_group_name_Hall '-C 2c 2'
_cell_length_a 2.8397
_cell_length_b 13.0873
_cell_length_c 2.9931
_cell_angle_alpha 90.00
_cell_angle_beta 90.00
_cell_angle_gamma 90.00
loop_
_atom_site_label
_atom_site_fract_x
_atom_site_fract_y
_atom_site_fract_z
Be1 0.0000 0.2102 0.2500
B1 0.0000 0.0388 0.2500
Ru1 0.0000 0.3955 0.2500

[3]
# BeBRu2 | Alexandria | PBE | relaxed
# * energy relative to the elements: -103 meV/atom
# * E: -117.48 eV for the cell shown
data_BeBRu2
_chemical_formula_sum 'Be4 B4 Ru8'
_symmetry_space_group_name_H-M 'F m -3 m'
_symmetry_Int_Tables_number 225
_symmetry_space_group_name_Hall '-F 4 2 3'
_cell_length_a 5.4757
_cell_length_b 5.4757
_cell_length_c 5.4757
_cell_angle_alpha 90.00
_cell_angle_beta 90.00
_cell_angle_gamma 90.00
loop_
_atom_site_label
_atom_site_fract_x
_atom_site_fract_y
_atom_site_fract_z
Be1 0.0000 0.0000 0.0000
B1 0.0000 0.0000 0.5000
Ru1 0.2500 0.2500 0.2500

[4]
# BeBRu | Alexandria | PBE | relaxed
# * energy relative to the elements: -300 meV/atom
# * E: -82.32 eV for the cell shown
data_BeBRu
_chemical_formula_sum 'Be4 B4 Ru4'
_symmetry_space_group_name_H-M 'C 1 2/m 1'
_symmetry_Int_Tables_number 12
_cell_length_a 7.7330
_cell_length_b 2.9138
_cell_length_c 5.6093
_cell_angle_alpha 90.00
_cell_angle_beta 117.21
_cell_angle_gamma 90.00
loop_
_symmetry_equiv_pos_as_xyz
'x,y,z'
'-x,-y,-z'
'-x,y,-z'
'x,-y,z'
'x+1/2,y+1/2,z'
'-x+1/2,-y+1/2,-z'
'-x+1/2,y+1/2,-z'
'x+1/2,-y+1/2,z'
loop_
_atom_site_label
_atom_site_fract_x
_atom_site_fract_y
_atom_site_fract_z
Be1 0.1290 0.0000 0.4248
B1 0.1212 0.5000 0.1500
Ru1 0.1432 0.5000 0.7746

[5]
# BeBRu | Alexandria | PBE | relaxed
# * energy relative to the elements: -335 meV/atom
# * E: -82.73 eV for the cell shown
data_BeBRu
_chemical_formula_sum 'Be4 B4 Ru4'
_symmetry_space_group_name_H-M 'C 1 2/m 1'
_symmetry_Int_Tables_number 12
_cell_length_a 9.7455
_cell_length_b 2.9693
_cell_length_c 3.8685
_cell_angle_alpha 90.00
_cell_angle_beta 99.98
_cell_angle_gamma 90.00
loop_
_symmetry_equiv_pos_as_xyz
'x,y,z'
'-x,-y,-z'
'-x,y,-z'
'x,-y,z'
'x+1/2,y+1/2,z'
'-x+1/2,-y+1/2,-z'
'-x+1/2,y+1/2,-z'
'x+1/2,-y+1/2,z'
loop_
_atom_site_label
_atom_site_fract_x
_atom_site_fract_y
_atom_site_fract_z
Be1 0.0708 0.0000 0.2939
B1 0.2336 0.5000 0.3559
Ru1 0.1240 0.5000 0.8107

[6]
# BeB3Ru | Alexandria | PBE | relaxed
# * energy relative to the elements: 1367 meV/atom
# * E: -26.20 eV for the cell shown
data_BeB3Ru
_chemical_formula_sum 'Be1 B3 Ru1'
_symmetry_space_group_name_H-M 'P m -3 m'
_symmetry_Int_Tables_number 221
_symmetry_space_group_name_Hall '-P 4 2 3'
_cell_length_a 4.0390
_cell_length_b 4.0390
_cell_length_c 4.0390
_cell_angle_alpha 90.00
_cell_angle_beta 90.00
_cell_angle_gamma 90.00
loop_
_atom_site_label
_atom_site_fract_x
_atom_site_fract_y
_atom_site_fract_z
Be1 0.0000 0.0000 0.0000
B1 0.0000 0.5000 0.5000
Ru1 0.5000 0.5000 0.5000

[7]
# BeBRu | Alexandria | PBE | relaxed
# * energy relative to the elements: -217 meV/atom
# * E: -81.32 eV for the cell shown
data_BeBRu
_chemical_formula_sum 'Be4 B4 Ru4'
_symmetry_space_group_name_H-M 'C 1 m 1'
_symmetry_Int_Tables_number 8
_cell_length_a 8.0160
_cell_length_b 2.9822
_cell_length_c 4.8884
_cell_angle_alpha 90.00
_cell_angle_beta 103.63
_cell_angle_gamma 90.00
loop_
_symmetry_equiv_pos_as_xyz
'x,y,z'
'x,-y,z'
'x+1/2,y+1/2,z'
'x+1/2,-y+1/2,z'
loop_
_atom_site_label
_atom_site_fract_x
_atom_site_fract_y
_atom_site_fract_z
Be1 0.0000 0.0000 0.0000
Be2 0.1194 0.5000 0.3325
B1 0.2372 0.0000 0.5788
B2 0.3665 0.0000 0.1424
Ru1 0.2059 0.5000 0.8844
Ru2 0.4194 0.5000 0.4746

[8]
# Be2BSbRu | Alexandria | PBE | relaxed
# * E: -17.11 eV for the cell shown
# * uncorrected formation energy: 2.08 eV/atom
data_Be2BSbRu
_chemical_formula_sum 'Be2 B1 Sb1 Ru1'
_symmetry_space_group_name_H-M 'P 4/m m m'
_symmetry_Int_Tables_number 123
_symmetry_space_group_name_Hall '-P 4 2'
_cell_length_a 4.3495
_cell_length_b 4.3495
_cell_length_c 5.1179
_cell_angle_alpha 90.00
_cell_angle_beta 90.00
_cell_angle_gamma 90.00
loop_
_atom_site_label
_atom_site_fract_x
_atom_site_fract_y
_atom_site_fract_z
Be1 0.0000 0.5000 0.0000
B1 0.0000 0.0000 0.5000
Sb1 0.5000 0.5000 0.0000
Ru1 0.5000 0.5000 0.5000